# 1
A plane-wave DFT calculation with SCAN was carried out for a crystal of MnSb2Se relaxed with PBEsol.

Properties
ΔE_f (raw) = -0.0238 eV/atom
crystal system = orthorhombic
symmetry = No. 44

Cell and atoms, written as POSCAR:
```
MnSb2Se
1.0
3.154 0.000 0.000
0.000 4.980 0.000
0.000 0.000 11.453
Mn Sb Se
2 4 2
Cartesian
0.000 0.000 0.000
1.577 2.490 5.726
0.000 0.000 6.067
0.000 2.490 8.020
1.577 0.000 2.294
1.577 2.490 0.340
0.000 2.490 3.934
1.577 0.000 9.660
```


# 2
A plane-wave DFT calculation with SCAN was carried out for a crystal of BaCd2Sb relaxed with PBEsol.

Properties
ΔE_f (raw) = -0.4056 eV/atom
crystal system = trigonal
symmetry = No. 166

Cell and atoms, written as POSCAR:
```
BaCd2Sb
1.0
4.934 0.000 0.000
-2.467 4.273 0.000
0.000 0.000 17.500
Ba Cd Sb
3 6 3
Cartesian
0.000 0.000 0.000
0.000 2.849 11.667
2.467 1.424 5.833
0.000 0.000 3.938
0.000 0.000 13.562
0.000 2.849 7.728
0.000 2.849 15.605
2.467 1.424 1.895
2.467 1.424 9.771
0.000 0.000 8.750
0.000 2.849 2.917
2.467 1.424 14.583
```


# 3
A plane-wave DFT calculation with SCAN was carried out for a crystal of MgScCr2Ga relaxed with PBEsol.

Properties
crystal system = tetragonal
symmetry = No. 123
energy of formation = 232 kJ/mol of formula units

Cell and atoms, written as POSCAR:
```
MgScCr2Ga
1.0
4.649 0.000 0.000
0.000 4.649 0.000
0.000 0.000 4.976
Mg Sc Cr Ga
1 1 2 1
Cartesian
0.000 0.000 0.000
2.324 2.324 0.000
0.000 2.324 2.488
2.324 0.000 2.488
2.324 2.324 2.488
```


# 4
A plane-wave DFT calculation with SCAN was carried out for a crystal of LuMn2Ge2 relaxed with PBEsol.

Properties
crystal system = tetragonal
symmetry = No. 139
energy of formation = -290 kJ/mol of formula units

Cell and atoms, written as POSCAR:
```
LuMn2Ge2
1.0
3.837 0.000 0.000
0.000 3.837 0.000
0.000 0.000 10.569
Lu Mn Ge
2 4 4
Cartesian
0.000 0.000 0.000
1.918 1.918 5.284
0.000 1.918 2.642
0.000 1.918 7.927
1.918 0.000 2.642
1.918 0.000 7.927
0.000 0.000 4.043
0.000 0.000 6.526
1.918 1.918 1.242
1.918 1.918 9.327
```


# 5
A plane-wave DFT calculation with SCAN was carried out for a crystal of BeAgP2Pd relaxed with PBEsol.

Properties
crystal system = tetragonal
symmetry = No. 123
energy of formation = 338 kJ/mol of formula units

Cell and atoms, written as POSCAR:
```
BeAgP2Pd
1.0
4.619 0.000 0.000
0.000 4.619 0.000
0.000 0.000 4.186
Be Ag P Pd
1 1 2 1
Cartesian
0.000 0.000 0.000
2.310 2.310 0.000
0.000 2.310 2.093
2.310 0.000 2.093
0.000 0.000 2.093
```


# 6
A plane-wave DFT calculation with SCAN was carried out for a crystal of CuReSi2 relaxed with PBEsol.

Properties
ΔE_f (raw) = 0.1016 eV/atom
crystal system = monoclinic
energy above the most stable polymorph in this dataset = 13 kJ/mol of formula units
symmetry = No. 12

Cell and atoms, written as POSCAR:
```
CuReSi2
1.0
8.080 0.000 0.000
0.000 2.921 0.000
-0.821 0.000 4.467
Cu Re Si
2 2 4
Cartesian
0.000 0.000 0.000
4.040 1.460 0.000
-0.410 1.460 2.234
3.630 0.000 2.234
1.349 0.000 3.261
1.870 1.460 1.206
5.389 1.460 3.261
5.911 0.000 1.206
```


# 7
A plane-wave DFT calculation with SCAN was carried out for a crystal of ZnCuIr2 relaxed with PBEsol.

Properties
crystal system = trigonal
symmetry = No. 160
energy of formation = -8 kJ/mol of formula units

Cell and atoms, written as POSCAR:
```
ZnCuIr2
1.0
2.690 0.000 0.000
-1.345 2.329 0.000
0.000 0.000 25.567
Zn Cu Ir
3 3 6
Cartesian
0.000 0.000 0.000
0.000 1.553 17.045
1.345 0.776 8.522
0.000 0.000 19.083
0.000 1.553 10.560
1.345 0.776 2.038
0.000 0.000 6.359
0.000 0.000 12.687
0.000 1.553 4.165
0.000 1.553 23.404
1.345 0.776 14.882
1.345 0.776 21.209
```


# 8
A plane-wave DFT calculation with SCAN was carried out for a crystal of Re2AgW relaxed with PBEsol.

Properties
crystal system = monoclinic
energy above the most stable polymorph in this dataset = 27 kJ/mol of formula units
symmetry = No. 8
energy of formation = 194 kJ/mol of formula units

Cell and atoms, written as POSCAR:
```
Re2AgW
1.0
9.293 0.000 0.000
0.000 2.808 0.000
-0.934 0.000 4.667
Re Ag W
4 2 2
Cartesian
0.000 0.000 0.000
2.012 1.404 1.041
4.647 1.404 0.000
6.658 0.000 1.041
1.576 0.000 3.405
6.222 1.404 3.405
4.067 0.000 2.206
8.714 1.404 2.206
```


# 9
A plane-wave DFT calculation with SCAN was carried out for a crystal of LiVOF2 relaxed with PBEsol.

Properties
ΔE_f (raw) = -2.9519 eV/atom
crystal system = triclinic
energy above the most stable polymorph in this dataset = 19 kJ/mol of formula units
symmetry = No. 1

Cell and atoms, written as POSCAR:
```
LiVOF2
1.0
5.247 0.000 0.000
-0.003 8.720 0.000
-1.413 -0.023 9.490
Li V O F
8 8 8 16
Cartesian
0.000 0.000 0.000
-0.649 4.379 4.606
0.157 0.010 3.563
-0.476 4.356 8.171
1.202 7.125 9.440
1.986 2.846 4.639
2.782 7.146 3.557
2.145 2.825 8.166
-0.574 1.491 6.382
0.144 2.734 1.907
0.188 5.868 1.835
-0.451 7.054 6.274
1.966 5.789 6.396
1.972 8.528 6.435
2.768 4.422 1.891
2.813 1.290 1.842
0.253 8.679 5.535
0.403 5.775 5.373
1.101 7.162 7.499
1.823 5.745 2.669
1.921 2.829 2.596
3.011 7.186 5.511
4.436 1.417 2.700
4.540 4.333 2.585
0.823 7.161 0.505
0.200 2.817 5.188
1.041 4.357 0.607
1.037 1.412 0.671
1.167 1.392 7.444
1.940 8.711 2.995
1.298 4.363 7.609
3.450 0.002 0.500
2.843 4.370 5.295
2.889 1.359 5.459
3.658 2.799 0.608
3.668 5.735 0.654
3.762 0.000 7.546
3.770 5.771 7.474
4.559 7.185 2.952
3.929 2.785 7.664
```


# 10
A plane-wave DFT calculation with SCAN was carried out for a crystal of TcSCl2 relaxed with PBEsol.

Properties
ΔE_f (raw) = 0.4401 eV/atom
crystal system = trigonal
symmetry = No. 166

Cell and atoms, written as POSCAR:
```
TcSCl2
1.0
2.793 0.000 0.000
-1.397 2.419 0.000
0.000 0.000 33.508
Tc S Cl
3 3 6
Cartesian
0.000 0.000 0.000
0.000 1.613 22.339
1.397 0.806 11.169
0.000 0.000 16.754
0.000 1.613 5.585
1.397 0.806 27.923
0.000 0.000 2.209
0.000 0.000 31.299
0.000 1.613 20.130
0.000 1.613 24.547
1.397 0.806 8.961
1.397 0.806 13.378
```


# 11
A plane-wave DFT calculation with SCAN was carried out for a crystal of Li2LaCuN relaxed with PBEsol.

Properties
ΔE_f (raw) = 0.2515 eV/atom
crystal system = tetragonal
symmetry = No. 123

Cell and atoms, written as POSCAR:
```
Li2LaCuN
1.0
4.428 0.000 0.000
0.000 4.428 0.000
0.000 0.000 3.764
Li La Cu N
2 1 1 1
Cartesian
0.000 2.214 0.000
2.214 0.000 0.000
0.000 0.000 1.882
2.214 2.214 0.000
2.214 2.214 1.882
```


# 12
A plane-wave DFT calculation with SCAN was carried out for a crystal of ZnTc relaxed with PBEsol.

Properties
crystal system = orthorhombic
energy above the most stable polymorph in this dataset = 35 kJ/mol of formula units
symmetry = No. 59
energy of formation = 21 kJ/mol of formula units

Cell and atoms, written as POSCAR:
```
ZnTc
1.0
2.678 0.000 0.000
0.000 4.340 0.000
0.000 0.000 4.737
Zn Tc
2 2
Cartesian
0.670 1.085 0.369
2.009 3.255 4.368
0.670 3.255 1.978
2.009 1.085 2.759
```


# 13
A plane-wave DFT calculation with SCAN was carried out for a crystal of CaCuO2 relaxed with PBEsol.

Properties
ΔE_f (raw) = -1.9514 eV/atom
crystal system = orthorhombic
symmetry = No. 55

Cell and atoms, written as POSCAR:
```
CaCuO2
1.0
5.364 0.000 0.000
0.000 10.966 0.000
0.000 0.000 3.134
Ca Cu O
4 4 8
Cartesian
0.004 1.496 0.000
2.678 6.979 0.000
2.686 3.988 0.000
5.360 9.471 0.000
0.002 4.148 1.567
5.362 6.819 1.567
2.684 1.336 1.567
2.680 9.631 1.567
1.293 0.001 1.567
1.337 8.226 1.567
1.345 2.743 1.567
1.389 5.485 1.567
3.975 5.482 1.567
4.019 8.224 1.567
4.027 2.741 1.567
4.071 10.965 1.567
```


# 14
A plane-wave DFT calculation with SCAN was carried out for a crystal of Cs2Ti2Tl relaxed with PBEsol.

Properties
crystal system = tetragonal
symmetry = No. 139
energy of formation = 536 kJ/mol of formula units

Cell and atoms, written as POSCAR:
```
Cs2Ti2Tl
1.0
4.488 0.000 0.000
0.000 4.488 0.000
0.000 0.000 16.041
Cs Ti Tl
4 4 2
Cartesian
0.000 2.244 4.010
0.000 2.244 12.031
2.244 0.000 4.010
2.244 0.000 12.031
0.000 0.000 1.002
0.000 0.000 15.039
2.244 2.244 7.019
2.244 2.244 9.022
0.000 0.000 8.021
2.244 2.244 0.000
```


# 15
A plane-wave DFT calculation with SCAN was carried out for a crystal of Tm3Ga2Ge3 relaxed with PBEsol.

Properties
crystal system = tetragonal
symmetry = No. 108
energy of formation = -597 kJ/mol of formula units

Cell and atoms, written as POSCAR:
```
Tm3Ga2Ge3
1.0
-3.821 3.821 5.348
3.821 -3.821 5.348
3.821 3.821 -5.348
Tm Ga Ge
6 4 6
Cartesian
0.000 0.000 0.000
2.591 -1.230 2.552
5.051 1.230 2.552
0.000 0.000 5.348
1.230 2.591 2.552
-1.230 5.051 2.552
4.891 1.070 -0.813
1.070 2.750 -0.813
2.750 1.070 4.535
-1.070 2.750 4.535
2.692 1.129 0.561
0.000 0.000 2.688
2.692 -1.129 5.908
1.129 4.950 0.561
0.000 0.000 8.035
1.129 2.692 5.908
```


# 16
A plane-wave DFT calculation with SCAN was carried out for a crystal of Cu3NiP2O9 relaxed with PBEsol.

Properties
ΔE_f (raw) = -1.6915 eV/atom
crystal system = monoclinic
symmetry = No. 14

Cell and atoms, written as POSCAR:
```
Cu3NiP2O9
1.0
8.187 0.000 0.000
0.000 9.718 0.000
-5.787 0.000 7.834
Cu Ni P O
12 4 8 36
Cartesian
-1.678 0.430 3.116
-4.572 4.429 7.033
0.669 1.846 1.966
-2.225 3.013 5.883
-1.641 5.907 6.864
1.253 8.670 2.947
1.147 1.048 4.887
4.041 3.811 0.970
4.624 6.705 1.951
1.731 7.872 5.868
6.971 5.289 0.801
4.078 9.288 4.718
-0.706 6.304 3.931
2.187 8.274 0.014
0.213 1.445 7.820
3.106 3.414 3.903
-4.739 1.520 6.769
-1.846 3.339 2.852
1.743 5.794 1.951
-1.150 8.783 5.867
3.550 0.935 1.966
0.657 3.924 5.883
4.245 6.379 4.982
7.139 8.198 1.065
-4.512 7.223 6.180
-1.618 7.355 2.264
-4.066 0.120 6.675
-1.172 4.739 2.758
0.700 5.425 0.860
-2.194 9.152 4.777
-2.408 6.180 5.104
0.486 8.398 1.188
1.337 2.290 0.230
-1.556 2.569 4.147
0.192 0.597 3.297
-2.701 4.262 7.213
1.101 6.604 3.108
-1.793 7.973 7.025
2.777 6.699 1.197
-0.116 7.878 5.114
-0.037 5.198 5.425
2.856 9.379 1.508
-0.457 0.339 6.326
2.437 4.520 2.409
2.516 1.840 2.719
-0.378 3.019 6.636
4.193 1.745 0.809
1.299 3.114 4.726
5.101 5.456 0.620
2.207 9.121 4.537
3.956 7.149 3.687
1.062 7.428 7.604
1.914 1.321 6.646
4.807 3.538 2.729
4.593 0.566 3.057
1.700 4.293 6.973
3.572 4.979 5.076
6.466 9.598 1.159
4.018 2.363 5.570
6.912 2.496 1.653
```


# 17
A plane-wave DFT calculation with SCAN was carried out for a crystal of BaNa2Li relaxed with PBEsol.

Properties
crystal system = cubic
symmetry = No. 225
energy of formation = 30 kJ/mol of formula units

Cell and atoms, written as POSCAR:
```
BaNa2Li
1.0
8.539 0.000 0.000
0.000 8.539 0.000
0.000 0.000 8.539
Ba Na Li
4 8 4
Cartesian
0.000 0.000 0.000
0.000 4.270 4.270
4.270 0.000 4.270
4.270 4.270 0.000
2.135 2.135 2.135
2.135 2.135 6.405
2.135 6.405 2.135
2.135 6.405 6.405
6.405 2.135 2.135
6.405 2.135 6.405
6.405 6.405 2.135
6.405 6.405 6.405
0.000 0.000 4.270
0.000 4.270 0.000
4.270 0.000 0.000
4.270 4.270 4.270
```


# 18
A plane-wave DFT calculation with SCAN was carried out for a crystal of ZrPdWSe2 relaxed with PBEsol.

Properties
ΔE_f (raw) = 0.6670 eV/atom
crystal system = tetragonal
symmetry = No. 123

Cell and atoms, written as POSCAR:
```
ZrPdWSe2
1.0
4.716 0.000 0.000
0.000 4.716 0.000
0.000 0.000 5.198
Zr Pd W Se
1 1 1 2
Cartesian
0.000 0.000 0.000
2.358 2.358 0.000
0.000 0.000 2.599
0.000 2.358 2.599
2.358 0.000 2.599
```


# 19
A plane-wave DFT calculation with SCAN was carried out for a crystal of KHg2Au relaxed with PBEsol.

Properties
crystal system = trigonal
energy above the most stable polymorph in this dataset = 1 kJ/mol of formula units
symmetry = No. 166
energy of formation = -108 kJ/mol of formula units

Cell and atoms, written as POSCAR:
```
KHg2Au
1.0
4.778 0.000 0.000
-2.389 4.138 0.000
0.000 0.000 16.882
K Hg Au
3 6 3
Cartesian
0.000 0.000 0.000
0.000 2.759 11.255
2.389 1.379 5.627
0.000 0.000 3.560
0.000 0.000 13.322
0.000 2.759 7.694
0.000 2.759 14.815
2.389 1.379 2.067
2.389 1.379 9.188
0.000 0.000 8.441
0.000 2.759 2.814
2.389 1.379 14.068
```


# 20
A plane-wave DFT calculation with SCAN was carried out for a crystal of TlAsIr2 relaxed with PBEsol.

Properties
crystal system = tetragonal
energy above the most stable polymorph in this dataset = 148 kJ/mol of formula units
symmetry = No. 119
energy of formation = 265 kJ/mol of formula units

Cell and atoms, written as POSCAR:
```
TlAsIr2
1.0
3.795 0.000 0.000
0.000 3.795 0.000
0.000 0.000 9.254
Tl As Ir
2 2 4
Cartesian
0.000 0.000 0.000
1.897 1.897 4.627
0.000 1.897 2.313
1.897 0.000 6.940
0.000 0.000 4.627
0.000 1.897 6.940
1.897 0.000 2.313
1.897 1.897 0.000
```


# 21
A plane-wave DFT calculation with SCAN was carried out for a crystal of Ce2ZrO6 relaxed with PBEsol.

Properties
ΔE_f (raw) = -3.7282 eV/atom
crystal system = monoclinic
energy above the most stable polymorph in this dataset = 8 kJ/mol of formula units
symmetry = No. 12

Cell and atoms, written as POSCAR:
```
Ce2ZrO6
1.0
5.917 -2.641 0.000
5.917 2.641 0.000
-2.376 0.000 7.097
Ce Zr O
4 2 12
Cartesian
0.000 0.000 0.000
-1.188 0.000 3.548
2.347 0.000 4.754
7.111 0.000 2.343
3.532 0.000 1.160
5.926 0.000 5.937
1.690 1.324 6.542
2.968 1.278 2.895
5.280 1.281 1.743
4.178 1.281 5.354
7.769 1.324 0.555
6.491 1.278 4.202
2.968 -1.278 2.895
1.690 -1.324 6.542
5.280 -1.281 1.743
4.178 -1.281 5.354
6.491 -1.278 4.202
7.769 -1.324 0.555
```


# 22
A plane-wave DFT calculation with SCAN was carried out for a crystal of WSN2O relaxed with PBEsol.

Properties
ΔE_f (raw) = 0.4476 eV/atom
crystal system = tetragonal
symmetry = No. 123

Cell and atoms, written as POSCAR:
```
WSN2O
1.0
4.011 0.000 0.000
0.000 4.011 0.000
0.000 0.000 3.745
W S N O
1 1 2 1
Cartesian
0.000 0.000 0.000
2.006 2.006 1.873
0.000 2.006 0.000
2.006 0.000 0.000
0.000 0.000 1.873
```


The final energy results, record by record, are as follows: -225.9 -417.8 -69.9 -266.1 -85.8 -211.8 -513.0 -482.5 -383.6 -176.6 -71.1 -96.7 -180.5 -349.0 -503.3 -656.1 -200.2 -170.0 -644.8 -464.0 -381.5 -101.9 eV/cell.
The size of the total moment results, record by record, are as follows: 3.7 0.0 7.2 4.4 0.0 0.0 0.0 0.0 2.0 0.0 0.0 0.0 0.0 0.0 0.0 3.0 0.0 0.0 0.0 0.0 0.0 0.0 μB per formula unit.